# Nd2Ga5Au3 GGA-PBE optimized geometry
data_Nd2Ga5Au3
_space_group_name_H-M_alt 'P -4 m 2'
_space_group_IT_number 115
_cell_length_a 4.3176
_cell_length_b 4.3176
_cell_length_c 11.2813
_cell_angle_alpha 90.00
_cell_angle_beta 90.00
_cell_angle_gamma 90.00
loop_
_space_group_symop_operation_xyz
'x,y,z'
'y,-x,-z'
'-x,-y,z'
'-y,x,-z'
'-x,y,z'
'-y,-x,-z'
'x,-y,z'
'y,x,-z'
loop_
_atom_site_label
_atom_site_type_symbol
_atom_site_fract_x
_atom_site_fract_y
_atom_site_fract_z
Nd1 Nd 0.0000 0.5000 0.2490
Ga1 Ga 0.0000 0.0000 0.0000
Ga2 Ga 0.0000 0.0000 0.5000
Ga3 Ga 0.0000 0.5000 0.8703
Ga4 Ga 0.5000 0.5000 0.0000
Au1 Au 0.0000 0.5000 0.6512
Au2 Au 0.5000 0.5000 0.5000
# E_form (eV per atom): -0.520
# Energy above the most stable polymorph in this dataset (eV/atom): 0.124
# Volume (Å³ per cell): 210.30
# Magnetization (μB per atom): 0.000